Record 1
First-principles (GGA-PBE) data for PrY5Sb6 after structural relaxation, as listed in Alexandria.

Summary:
Symmetry   No. 12
Energy relative to the elements, uncorrected   -1.17 eV per atom

a = 7.6557 Å, b = 7.6563 Å, c = 7.6575 Å
α = 60.01°, β = 80.39°, γ = 70.49°
Atoms (fractional coordinates):
Pr 0.0000 0.0000 0.0000
Y 0.5000 0.1641 0.6718
Y 0.0000 0.3325 0.3351
Y 0.5000 0.5000 0.0000
Y 0.0000 0.6675 0.6649
Y 0.5000 0.8359 0.3282
Sb 0.7456 0.0850 0.3390
Sb 0.2544 0.5759 0.3390
Sb 0.2518 0.2556 0.0000
Sb 0.7482 0.7444 0.0000
Sb 0.7456 0.4241 0.6610
Sb 0.2544 0.9150 0.6610

Record 2
First-principles (GGA-PBE) data for PrY3Sb3 after structural relaxation, as listed in Alexandria.

Summary:
Symmetry   No. 198
Energy relative to the elements, uncorrected   -1.03 eV per atom

a = 9.3117 Å, b = 9.3117 Å, c = 9.3117 Å
α = 90.00°, β = 90.00°, γ = 90.00°
Atoms (fractional coordinates):
Pr 0.0694 0.5694 0.9306
Pr 0.9306 0.0694 0.5694
Pr 0.4306 0.4306 0.4306
Pr 0.5694 0.9306 0.0694
Y 0.8194 0.3194 0.1806
Y 0.9241 0.9241 0.9241
Y 0.8210 0.6790 0.3210
Y 0.1806 0.8194 0.3194
Y 0.1790 0.1790 0.1790
Y 0.3210 0.8210 0.6790
Y 0.0759 0.4241 0.5759
Y 0.3194 0.1806 0.8194
Y 0.6790 0.3210 0.8210
Y 0.6806 0.6806 0.6806
Y 0.5759 0.0759 0.4241
Y 0.4241 0.5759 0.0759
Sb 0.7430 0.6210 0.0016
Sb 0.8790 0.9984 0.2430
Sb 0.0016 0.7430 0.6210
Sb 0.1210 0.4984 0.2570
Sb 0.2570 0.1210 0.4984
Sb 0.2430 0.8790 0.9984
Sb 0.9984 0.2430 0.8790
Sb 0.3790 0.5016 0.7570
Sb 0.4984 0.2570 0.1210
Sb 0.6210 0.0016 0.7430
Sb 0.7570 0.3790 0.5016
Sb 0.5016 0.7570 0.3790